Record 1
This record from the Alexandria database describes crystalline Mg2TlRh at its relaxed geometry. The functional is PBE. Values from VASP.

```
&SYSTEM
  ibrav = 0, nat = 4, ntyp = 3
/
ATOMIC_SPECIES
Tl 204.38 Tl.upf
Rh 102.91 Rh.upf
Mg 24.30 Mg.upf
ATOMIC_POSITIONS crystal
Tl 0.5000 0.5000 0.5000
Rh 0.0000 0.0000 0.0000
Mg 0.2500 0.2500 0.2500
Mg 0.7500 0.7500 0.7500
CELL_PARAMETERS angstrom
0.0000 3.3329 3.3329
3.3329 0.0000 3.3329
3.3329 3.3329 0.0000
```

Values from the calculation:
* total moment: 0.0 μB/f.u.

***

Record 2
This record from the Alexandria database describes crystalline Mg2TlRh2 at its relaxed geometry. The functional is PBE. Values from VASP.

```
&SYSTEM
  ibrav = 0, nat = 5, ntyp = 3
/
ATOMIC_SPECIES
Tl 204.38 Tl.upf
Rh 102.91 Rh.upf
Mg 24.30 Mg.upf
ATOMIC_POSITIONS crystal
Tl 0.0000 0.0000 0.0000
Rh 0.3946 0.3946 0.2109
Rh 0.6054 0.6054 0.7891
Mg 0.7500 0.2500 0.5000
Mg 0.2500 0.7500 0.5000
CELL_PARAMETERS angstrom
-2.4064 -2.7984 1.4501
-0.7450 -1.2676 -3.6827
3.1076 -5.8673 -0.7440
```

Values from the calculation:
* relative energy among the computed polymorphs: 0.320 eV per atom
* total moment: 0.0 μB/f.u.

***

Record 3
This record from the Alexandria database describes crystalline MgTlRh2 at its relaxed geometry. The functional is PBE. Values from VASP.

```
&SYSTEM
  ibrav = 0, nat = 4, ntyp = 3
/
ATOMIC_SPECIES
Mg 24.30 Mg.upf
Rh 102.91 Rh.upf
Tl 204.38 Tl.upf
ATOMIC_POSITIONS crystal
Mg 0.7628 0.2628 0.5000
Rh 0.0030 0.0030 0.0000
Rh 0.2423 0.7423 0.5000
Tl 0.4919 0.4919 0.0000
CELL_PARAMETERS angstrom
-1.3505 0.8967 5.2581
-2.8862 -3.7705 2.7799
4.5828 1.0567 -2.8560
```

Values from the calculation:
* total moment: 0.0 μB/f.u.

***

Record 4
This record from the Alexandria database describes crystalline MgTl2Rh at its relaxed geometry. The functional is PBE. Values from VASP.

```
&SYSTEM
  ibrav = 0, nat = 4, ntyp = 3
/
ATOMIC_SPECIES
Mg 24.30 Mg.upf
Rh 102.91 Rh.upf
Tl 204.38 Tl.upf
ATOMIC_POSITIONS crystal
Mg 0.2500 0.2500 0.2500
Rh 0.7500 0.7500 0.7500
Tl 0.0078 0.0078 0.0078
Tl 0.4922 0.4922 0.4922
CELL_PARAMETERS angstrom
9.1259 -0.0325 -0.0192
8.5119 3.2911 -0.0192
8.5119 1.5726 2.8911
```

Values from the calculation:
* total moment: 0.0 μB/f.u.

***

Record 5
This record from the Alexandria database describes crystalline MgTl2Rh at its relaxed geometry. The functional is PBE. Values from VASP.

```
&SYSTEM
  ibrav = 0, nat = 4, ntyp = 3
/
ATOMIC_SPECIES
Mg 24.30 Mg.upf
Rh 102.91 Rh.upf
Tl 204.38 Tl.upf
ATOMIC_POSITIONS crystal
Mg 0.0000 0.0000 0.5602
Rh 0.5000 0.5000 0.7299
Tl 0.0000 0.0000 0.9450
Tl 0.5000 0.5000 0.2649
CELL_PARAMETERS angstrom
-1.9963 2.0604 1.5408
-1.6860 -2.5216 1.1845
4.9767 -0.1833 6.6932
```

Values from the calculation:
* total moment: 0.0 μB/f.u.

***

Record 6
This record from the Alexandria database describes crystalline Mg2Tl2Rh at its relaxed geometry. The functional is PBE. Values from VASP.

```
&SYSTEM
  ibrav = 0, nat = 10, ntyp = 3
/
ATOMIC_SPECIES
Tl 204.38 Tl.upf
Rh 102.91 Rh.upf
Mg 24.30 Mg.upf
ATOMIC_POSITIONS crystal
Tl 0.3522 0.8522 0.0000
Tl 0.8522 0.6478 0.0000
Tl 0.6478 0.1478 0.0000
Tl 0.1478 0.3522 0.0000
Rh 0.0000 0.0000 0.0000
Rh 0.5000 0.5000 0.0000
Mg 0.1626 0.6626 0.5000
Mg 0.6626 0.8374 0.5000
Mg 0.8374 0.3374 0.5000
Mg 0.3374 0.1626 0.5000
CELL_PARAMETERS angstrom
7.2890 0.0000 0.0000
0.0000 7.2890 0.0000
0.0000 0.0000 4.1331
```

Values from the calculation:
* relative energy among the computed polymorphs: 0.016 eV per atom
* total moment: 0.0 μB/f.u.

***

Record 7
This record from the Alexandria database describes crystalline MgTl2Rh at its relaxed geometry. The functional is PBE. Values from VASP.

```
&SYSTEM
  ibrav = 0, nat = 8, ntyp = 3
/
ATOMIC_SPECIES
Tl 204.38 Tl.upf
Rh 102.91 Rh.upf
Mg 24.30 Mg.upf
ATOMIC_POSITIONS crystal
Tl 0.8737 0.1250 0.2500
Tl 0.8763 0.6250 0.2500
Tl 0.3750 0.1263 0.7500
Tl 0.8750 0.1237 0.7500
Rh 0.0000 0.0000 0.0000
Rh 0.7500 0.2500 0.5000
Mg 0.5000 0.5000 0.0000
Mg 0.2500 0.7500 0.5000
CELL_PARAMETERS angstrom
-1.1396 4.1474 -9.3909
4.3160 -8.3794 -4.2244
-0.6862 -3.1880 -7.0051
```

Values from the calculation:
* total moment: 0.0 μB/f.u.

***

Record 8
This record from the Alexandria database describes crystalline MgTlRh2 at its relaxed geometry. The functional is PBE. Values from VASP.

```
&SYSTEM
  ibrav = 0, nat = 4, ntyp = 3
/
ATOMIC_SPECIES
Mg 24.30 Mg.upf
Rh 102.91 Rh.upf
Tl 204.38 Tl.upf
ATOMIC_POSITIONS crystal
Mg 0.7500 0.7500 0.7500
Rh 0.0023 0.0023 0.0023
Rh 0.4977 0.4977 0.4977
Tl 0.2500 0.2500 0.2500
CELL_PARAMETERS angstrom
8.6057 -0.0244 -0.0144
8.0576 3.0222 -0.0144
8.0576 1.4496 2.6519
```

Values from the calculation:
* total moment: 0.0 μB/f.u.

***

Record 9
This record from the Alexandria database describes crystalline MgTlRh2 at its relaxed geometry. The functional is PBE. Values from VASP.

```
&SYSTEM
  ibrav = 0, nat = 4, ntyp = 3
/
ATOMIC_SPECIES
Mg 24.30 Mg.upf
Rh 102.91 Rh.upf
Tl 204.38 Tl.upf
ATOMIC_POSITIONS crystal
Mg 0.7500 0.2500 0.5000
Rh 0.0000 0.0000 0.0000
Rh 0.2500 0.7500 0.5000
Tl 0.5000 0.5000 0.0000
CELL_PARAMETERS angstrom
-1.7928 -4.0119 -2.6203
3.6413 -3.3233 -1.3680
-1.3007 2.2651 4.3991
```

Values from the calculation:
* total moment: 0.0 μB/f.u.

***

Record 10
This record from the Alexandria database describes crystalline Mg2TlRh at its relaxed geometry. The functional is PBE. Values from VASP.

```
&SYSTEM
  ibrav = 0, nat = 4, ntyp = 3
/
ATOMIC_SPECIES
Mg 24.30 Mg.upf
Rh 102.91 Rh.upf
Tl 204.38 Tl.upf
ATOMIC_POSITIONS crystal
Mg 0.9882 0.9882 0.0000
Mg 0.5118 0.5118 0.0000
Rh 0.7500 0.2500 0.5000
Tl 0.2500 0.7500 0.5000
CELL_PARAMETERS angstrom
-4.7601 -0.8260 2.0155
0.2290 -2.8026 4.4155
2.2407 4.3816 -1.7845
```

Values from the calculation:
* total moment: 0.0 μB/f.u.

***

Record 11
This record from the Alexandria database describes crystalline MgTl2Rh at its relaxed geometry. The functional is PBE. Values from VASP.

```
&SYSTEM
  ibrav = 0, nat = 4, ntyp = 3
/
ATOMIC_SPECIES
Mg 24.30 Mg.upf
Rh 102.91 Rh.upf
Tl 204.38 Tl.upf
ATOMIC_POSITIONS crystal
Mg 0.5655 0.5655 0.4351
Rh 0.2418 0.2418 0.2576
Tl 0.9479 0.9479 0.0526
Tl 0.7449 0.7449 0.7547
CELL_PARAMETERS angstrom
6.8101 0.0017 0.0153
6.0849 3.0580 0.0153
1.5721 0.3730 4.3573
```

Values from the calculation:
* total moment: 0.0 μB/f.u.

***

Record 12
This record from the Alexandria database describes crystalline Mg3TlRh3 at its relaxed geometry. The functional is PBE. Values from VASP.

```
&SYSTEM
  ibrav = 0, nat = 7, ntyp = 3
/
ATOMIC_SPECIES
Mg 24.30 Mg.upf
Tl 204.38 Tl.upf
Rh 102.91 Rh.upf
ATOMIC_POSITIONS crystal
Mg 0.5000 0.0034 0.0000
Mg 0.5000 0.5034 0.5000
Mg 0.0000 0.0034 0.5000
Tl 0.0000 0.5037 0.0000
Rh 0.5000 0.5037 0.0000
Rh 0.5000 0.0037 0.5000
Rh 0.0000 0.5037 0.5000
CELL_PARAMETERS angstrom
5.1638 0.0305 -1.8405
-2.5451 4.3999 -1.8009
-0.0176 0.0305 5.4819
```

Values from the calculation:
* total moment: 0.0 μB/f.u.

***

Record 13
This record from the Alexandria database describes crystalline Mg6Tl3Rh at its relaxed geometry. The functional is PBE. Values from VASP.

```
&SYSTEM
  ibrav = 0, nat = 20, ntyp = 3
/
ATOMIC_SPECIES
Mg 24.30 Mg.upf
Tl 204.38 Tl.upf
Rh 102.91 Rh.upf
ATOMIC_POSITIONS crystal
Mg 0.5000 0.1463 0.9423
Mg 0.5000 0.2148 0.6024
Mg 0.5000 0.4850 0.2693
Mg 0.5000 0.5150 0.7307
Mg 0.5000 0.7852 0.3976
Mg 0.5000 0.8537 0.0577
Mg 0.0000 0.3537 0.4423
Mg 0.0000 0.2852 0.1024
Mg 0.0000 0.0150 0.7692
Mg 0.0000 0.9850 0.2308
Mg 0.0000 0.7148 0.8976
Mg 0.0000 0.6463 0.5577
Tl 0.5000 0.8390 0.6867
Tl 0.5000 0.5000 0.0000
Tl 0.5000 0.1610 0.3133
Tl 0.0000 0.6610 0.1867
Tl 0.0000 0.0000 0.5000
Tl 0.0000 0.3390 0.8133
Rh 0.5000 0.5000 0.5000
Rh 0.0000 0.0000 0.0000
CELL_PARAMETERS angstrom
-0.5859 1.6686 4.3088
1.4015 -7.9894 3.2845
11.1083 2.2165 0.6521
```

Values from the calculation:
* total moment: 0.0 μB/f.u.

***

Record 14
This record from the Alexandria database describes crystalline Mg2Tl2Rh at its relaxed geometry. The functional is PBE. Values from VASP.

```
&SYSTEM
  ibrav = 0, nat = 10, ntyp = 3
/
ATOMIC_SPECIES
Tl 204.38 Tl.upf
Rh 102.91 Rh.upf
Mg 24.30 Mg.upf
ATOMIC_POSITIONS crystal
Tl 0.1710 0.6710 0.5000
Tl 0.6710 0.8290 0.5000
Tl 0.8290 0.3290 0.5000
Tl 0.3290 0.1710 0.5000
Rh 0.0000 0.0000 0.0000
Rh 0.5000 0.5000 0.0000
Mg 0.3439 0.8439 0.0000
Mg 0.8439 0.6561 0.0000
Mg 0.6561 0.1561 0.0000
Mg 0.1561 0.3439 0.0000
CELL_PARAMETERS angstrom
-3.4891 -4.5616 -3.8136
5.4995 -4.1566 -0.0596
-1.5532 -2.1116 3.9468
```

Values from the calculation:
* relative energy among the computed polymorphs: 0.000 eV per atom
* total moment: 0.0 μB/f.u.

***

no.,formation energy from the elements (kJ per mole of atoms)
1,-16
2,2
3,-8
4,12
5,-8
6,11
7,3
8,1
9,-8
10,-17
11,-5
12,-37
13,-11
14,10